A plane-wave DFT calculation with GGA-PBE was carried out for a relaxed structure of Ti3ReB.

The density is 5.45 g/cm3. Its polymorph energy (0 for the lowest one) is 136.3 kJ per mole of atoms.

The structure belongs to space group Pm-3m (No. 221); the cell edges are 4.699, 4.699 and 4.699 Å and the angles 90.00°, 90.00° and 90.00°. The inequivalent atoms are Ti at (0.000, 0.000, 0.500), Re at (0.000, 0.000, 0.000) and B at (0.500, 0.500, 0.500).

***

A plane-wave DFT calculation with GGA-PBE was carried out for a relaxed structure of TiRe2B2.

The total DFT energy (no corrections) is -9.630 eV/atom. The density is 13.16 g/cm3.

The structure belongs to space group P4/mbm (No. 127); the cell edges are 6.099, 6.099 and 2.999 Å and the angles 90.00°, 90.00° and 90.00°. The inequivalent atoms are Ti at (0.000, 0.000, 0.000), Re at (0.160, 0.340, 0.500) and B at (0.128, 0.628, 0.000).

***

A plane-wave DFT calculation with GGA-PBE was carried out for a relaxed structure of YTi2ReB.

The total DFT energy (no corrections) is -6.036 eV/atom. The density is 6.77 g/cm3.

The structure belongs to space group P4/mmm (No. 123); the cell edges are 4.811, 4.811 and 4.042 Å and the angles 90.00°, 90.00° and 90.00°. The inequivalent atoms are Y at (0.000, 0.000, 0.000), Ti at (0.000, 0.500, 0.000), Re at (0.500, 0.500, 0.500) and B at (0.000, 0.000, 0.500).

***

A plane-wave DFT calculation with GGA-PBE was carried out for a relaxed structure of TlReB3.

The density is 9.01 g/cm3. Its polymorph energy (0 for the lowest one) is 0.0 kJ per mole of atoms.

The structure belongs to space group Pm-3m (No. 221); the cell edges are 4.272, 4.272 and 4.272 Å and the angles 90.00°, 90.00° and 90.00°. The inequivalent atoms are Tl at (0.000, 0.000, 0.000), Re at (0.500, 0.500, 0.500) and B at (0.000, 0.500, 0.500).

***

A plane-wave DFT calculation with GGA-PBE was carried out for a relaxed structure of TlRe2B.

The density is 16.51 g/cm3. Its polymorph energy (0 for the lowest one) is 30.6 kJ per mole of atoms.

The structure belongs to space group Fm-3m (No. 225); the cell edges are 6.183, 6.183 and 6.183 Å and the angles 90.00°, 90.00° and 90.00°. The inequivalent atoms are Tl at (0.000, 0.000, 0.000), Re at (0.250, 0.250, 0.250) and B at (0.000, 0.000, 0.500).

***

A plane-wave DFT calculation with GGA-PBE was carried out for a relaxed structure of Tl2ReB.

The density is 10.38 g/cm3. Its polymorph energy (0 for the lowest one) is 0.0 kJ per mole of atoms.

The structure belongs to space group I-42d (No. 122); the cell edges are 9.700, 9.700 and 4.120 Å and the angles 90.00°, 90.00° and 90.00°. The inequivalent atoms are Tl at (0.001, 0.250, 0.125), Re at (0.000, 0.000, 0.500) and B at (0.000, 0.000, 0.000).

***

A plane-wave DFT calculation with GGA-PBE was carried out for a relaxed structure of TlReB3.

The density is 8.98 g/cm3. Its polymorph energy (0 for the lowest one) is 222.5 kJ per mole of atoms.

The structure belongs to space group Pm-3m (No. 221); the cell edges are 4.277, 4.277 and 4.277 Å and the angles 90.00°, 90.00° and 90.00°. The inequivalent atoms are Tl at (0.000, 0.000, 0.000), Re at (0.500, 0.500, 0.500) and B at (0.000, 0.000, 0.500).

***

A plane-wave DFT calculation with GGA-PBE was carried out for a relaxed structure of Tl2ReB.

The density is 13.15 g/cm3. Its polymorph energy (0 for the lowest one) is 70.6 kJ per mole of atoms.

The structure belongs to space group Fm-3m (No. 225); the cell edges are 6.739, 6.739 and 6.739 Å and the angles 90.00°, 90.00° and 90.00°. The inequivalent atoms are Tl at (0.250, 0.250, 0.250), Re at (0.000, 0.000, 0.000) and B at (0.000, 0.000, 0.500).

***

A plane-wave DFT calculation with GGA-PBE was carried out for a relaxed structure of TlRe2B.

The density is 13.01 g/cm3. Its polymorph energy (0 for the lowest one) is 0.0 kJ per mole of atoms.

The structure belongs to space group I-42d (No. 122); the cell edges are 4.460, 4.460 and 15.077 Å and the angles 90.00°, 90.00° and 90.00°. The inequivalent atoms are Tl at (0.000, 0.000, 0.000), Re at (0.116, 0.250, 0.625) and B at (0.000, 0.000, 0.500).

***

A plane-wave DFT calculation with GGA-PBE was carried out for a relaxed structure of TlReBW2.

The total DFT energy (no corrections) is -5.266 eV/atom. The density is 10.54 g/cm3.

The structure belongs to space group P4/mmm (No. 123); the cell edges are 4.966, 4.966 and 4.912 Å and the angles 90.00°, 90.00° and 90.00°. The inequivalent atoms are Tl at (0.000, 0.000, 0.000), Re at (0.000, 0.000, 0.500), B at (0.500, 0.500, 0.500) and W at (0.000, 0.500, 0.000).

***

A plane-wave DFT calculation with GGA-PBE was carried out for a relaxed structure of Tl2ReBW.

The total DFT energy (no corrections) is -5.117 eV/atom. The density is 11.47 g/cm3.

The structure belongs to space group P4/mmm (No. 123); the cell edges are 5.346, 5.346 and 4.000 Å and the angles 90.00°, 90.00° and 90.00°. The inequivalent atoms are Tl at (0.000, 0.500, 0.000), Re at (0.000, 0.000, 0.500), B at (0.500, 0.500, 0.500) and W at (0.500, 0.500, 0.000).

***

A plane-wave DFT calculation with GGA-PBE was carried out for a relaxed structure of TmReB.

The total DFT energy (no corrections) is -8.037 eV/atom. The density is 12.52 g/cm3.

The structure belongs to space group P2_1/m (No. 11); the cell edges are 3.339, 4.979 and 6.074 Å and the angles 90.00°, 105.94° and 90.00°. The inequivalent atoms are Tm at (0.166, 0.250, 0.331), Re at (0.447, 0.250, 0.894) and B at (0.157, 0.750, 0.316).

***

A plane-wave DFT calculation with GGA-PBE was carried out for a relaxed structure of Tm3ReB7.

The total DFT energy (no corrections) is -7.267 eV/atom. The density is 10.10 g/cm3.

The structure belongs to space group Cmcm (No. 63); the cell edges are 3.493, 15.587 and 9.281 Å and the angles 90.00°, 90.00° and 90.00°. The inequivalent atoms are Tm at (0.000, 0.105, 0.060), Tm at (0.000, 0.243, 0.750), Re at (0.000, 0.052, 0.750), B at (0.000, 0.272, 0.034), B at (0.000, 0.367, 0.150), B at (0.000, 0.454, 0.750) and B at (0.000, 0.480, 0.094).

***

A plane-wave DFT calculation with GGA-PBE was carried out for a relaxed structure of Tm3Re3B8.

The total DFT energy (no corrections) is -7.641 eV/atom. The density is 11.56 g/cm3.

The structure belongs to space group Immm (No. 71); the cell edges are 3.122, 9.643 and 10.993 Å and the angles 90.00°, 90.00° and 90.00°. The inequivalent atoms are Tm at (0.000, 0.000, 0.000), Tm at (0.000, 0.000, 0.286), Re at (0.000, 0.242, 0.500), Re at (0.000, 0.500, 0.000), B at (0.000, 0.287, 0.299) and B at (0.000, 0.307, 0.142).

***

A plane-wave DFT calculation with GGA-PBE was carried out for a relaxed structure of TmReB2.

The total DFT energy (no corrections) is -7.715 eV/atom. The density is 11.87 g/cm3.

The structure belongs to space group R-3m (No. 166, hexagonal axes); the cell edges are 3.2948, 3.2948 and 16.8236 Å and the angles 90.00°, 90.00° and 120.00°. The inequivalent atoms are Tm at (0.0000, 0.0000, 0.0000), Re at (0.0000, 0.0000, 0.5000) and B at (0.0000, 0.0000, 0.2346).

***

A plane-wave DFT calculation with GGA-PBE was carried out for a relaxed structure of TmRe3B3.

The total DFT energy (no corrections) is -9.169 eV/atom. The density is 14.55 g/cm3.

The structure belongs to space group P6_3/m (No. 176); the cell edges are 8.0693, 8.0693 and 3.0768 Å and the angles 90.00°, 90.00° and 120.00°. The inequivalent atoms are Tm at (0.3333, 0.6667, 0.2500), Re at (0.0708, 0.3079, 0.7500) and B at (0.0413, 0.5706, 0.7500).

***

A plane-wave DFT calculation with GGA-PBE was carried out for a relaxed structure of Tm2Re2B7.

The total DFT energy (no corrections) is -7.187 eV/atom. The density is 10.40 g/cm3.

The structure belongs to space group C2/m (No. 12); the cell edges are 8.973, 8.810 and 3.188 Å and the angles 90.00°, 95.15° and 90.00°. The inequivalent atoms are Tm at (0.241, 0.000, 0.283), Re at (0.000, 0.325, 0.000), B at (0.000, 0.500, 0.500), B at (0.033, 0.000, 0.758) and B at (0.228, 0.223, 0.749).

***

A plane-wave DFT calculation with GGA-PBE was carried out for a relaxed structure of URe4B4.

The total DFT energy (no corrections) is -9.988 eV/atom. The density is 14.58 g/cm3.

The structure belongs to space group P4_2/n (No. 86, origin choice 2); the cell edges are 7.393, 7.393 and 4.277 Å and the angles 90.00°, 90.00° and 90.00°. The inequivalent atoms are U at (0.250, 0.250, 0.250), Re at (0.119, 0.621, 0.122) and B at (0.060, 0.922, 0.121).

***

A plane-wave DFT calculation with GGA-PBE was carried out for a relaxed structure of U2ReB10.

The total DFT energy (no corrections) is -8.153 eV/atom. The density is 9.63 g/cm3.

The structure belongs to space group Pbam (No. 55); the cell edges are 5.683, 11.325 and 4.129 Å and the angles 90.00°, 90.00° and 90.00°. The inequivalent atoms are U at (0.224, 0.130, 0.000), Re at (0.000, 0.500, 0.500), B at (0.066, 0.305, 0.500), B at (0.116, 0.958, 0.500), B at (0.123, 0.803, 0.500) and B at (0.229, 0.380, 0.197).

***

A plane-wave DFT calculation with GGA-PBE was carried out for a relaxed structure of VRe2B.

The total DFT energy (no corrections) is -10.060 eV/atom. The density is 13.35 g/cm3.

The structure belongs to space group I-42d (No. 122); the cell edges are 7.040, 7.040 and 4.360 Å and the angles 90.00°, 90.00° and 90.00°. The inequivalent atoms are V at (0.000, 0.000, 0.000), Re at (0.150, 0.250, 0.625) and B at (0.000, 0.000, 0.500).

***

A plane-wave DFT calculation with GGA-PBE was carried out for a relaxed structure of VRe3B.

The density is 14.99 g/cm3. Its polymorph energy (0 for the lowest one) is 31.3 kJ per mole of atoms.

The structure belongs to space group Pm-3m (No. 221); the cell edges are 4.096, 4.096 and 4.096 Å and the angles 90.00°, 90.00° and 90.00°. The inequivalent atoms are V at (0.000, 0.000, 0.000), Re at (0.000, 0.500, 0.500) and B at (0.500, 0.500, 0.500).

***

A plane-wave DFT calculation with GGA-PBE was carried out for a relaxed structure of V11ReB8.

The total DFT energy (no corrections) is -9.031 eV/atom. The density is 6.93 g/cm3.

The structure belongs to space group P2/m (No. 10); the cell edges are 5.742, 3.026 and 11.487 Å and the angles 90.00°, 90.01° and 90.00°. The inequivalent atoms are V at (0.000, 0.000, 0.000), V at (0.178, 0.500, 0.161), V at (0.180, 0.500, 0.664), V at (0.322, 0.500, 0.912), V at (0.327, 0.500, 0.409), V at (0.500, 0.000, 0.249), Re at (0.000, 0.000, 0.500), B at (0.111, 0.000, 0.304), B at (0.111, 0.000, 0.807), B at (0.389, 0.000, 0.055) and B at (0.389, 0.000, 0.556).

***

A plane-wave DFT calculation with GGA-PBE was carried out for a relaxed structure of V8ReB2.

The total DFT energy (no corrections) is -9.113 eV/atom. The density is 7.41 g/cm3.

The structure belongs to space group C2/m (No. 12); the cell edges are 6.727, 9.710 and 4.374 Å and the angles 90.00°, 105.05° and 90.00°. The inequivalent atoms are V at (0.000, 0.244, 0.000), V at (0.108, 0.500, 0.807), V at (0.208, 0.127, 0.587), Re at (0.000, 0.000, 0.000) and B at (0.000, 0.311, 0.500).